Compound: Co2HgRu
Source: the Alexandria database
Functional: PBE
Structure: optimized geometry

Cell lengths 5.565, 7.298, 2.789 Å; angles 90.00, 90.00, 90.00 degrees
Space group Cmmm (No. 65)
One atom of each set of equivalent atoms:
Co 0.250 0.250 0.000 x4
Hg 0.000 0.000 0.500 x2
Ru 0.000 0.500 0.500 x2

Computed properties:
volume	14.16	Å³/atom
ΔH_f (0 K)	0.4981	eV/atom
M_tot	1.030	μB/atom
DOS at the Fermi energy	11.2	states/eV/cell
VASP energy	-5.449	eV/atom

***

Compound: NaCuTe2S4
Source: the Alexandria database
Functional: PBE
Structure: optimized geometry

Cell lengths 7.134, 7.134, 7.050 Å; angles 90.00, 90.00, 90.00 degrees
Space group I-42m (No. 121)
One atom of each set of equivalent atoms:
Na 0.000 0.000 0.000 x2
Cu 0.000 0.000 0.500 x2
Te 0.000 0.500 0.250 x4
S 0.183 0.183 0.302 x8

Computed properties:
volume	22.42	Å³/atom
formation energy without anion corrections	-0.1564	eV/atom
M_tot	0.000	μB/atom
DOS at the Fermi energy	11.8	states/eV/cell
VASP energy	-3.682	eV/atom

***

Compound: SrSm2TcO8
Source: the Alexandria database
Functional: PBE
Structure: optimized geometry

Cell lengths 4.422, 5.201, 7.102 Å; angles 89.87, 73.48, 88.69 degrees
Space group P-1 (No. 2)
One atom of each set of equivalent atoms:
Sr 0.000 0.000 0.000 x1
Sm 0.387 0.510 0.288 x2
Tc 0.000 0.000 0.500 x1
O 0.173 0.288 0.601 x2
O 0.217 0.770 0.619 x2
O 0.233 0.499 0.005 x2
O 0.339 0.990 0.256 x2

Computed properties:
volume	13.05	Å³/atom
formation energy without anion corrections	-2.3160	eV/atom
M_tot	0.013	μB/atom
DOS at the Fermi energy	2.0	states/eV/cell
VASP energy	-7.412	eV/atom

***

Among the records above, which one has the lowest volume?
SrSm2TcO8